Density functional theory data (PBE-GGA) for Ba3As after structural relaxation.

theoretical density = 3550 kg/m3
energy above the most stable polymorph in this dataset = 0 meV per atom
volume = 56.9 Å³ per atom
energy of formation = -0.616 eV/atom
space-group type = No. 166

Cell: 4.718 4.718 35.448 Å, 90.00 90.00 120.00°
Positions (direct):
Ba  0.000  0.000  0.000
Ba  0.000  0.000  0.217
Ba  0.000  0.000  0.783
Ba  0.333  0.667  0.450
Ba  0.333  0.667  0.667
Ba  0.333  0.667  0.883
Ba  0.667  0.333  0.117
Ba  0.667  0.333  0.333
Ba  0.667  0.333  0.550
As  0.000  0.000  0.500
As  0.333  0.667  0.167
As  0.667  0.333  0.833